Entry from OQMD via LeMat-Bulk: a relaxed structure of HgF2 (PBE).

Structure (extended XYZ):
```
6
Lattice="5.1150 0.0000 0.0000 0.0000 5.1150 0.0000 0.0000 0.0000 3.7209" Properties=species:S:1:pos:R:3 pbc="T T T"
F 1.5687 1.5687 0.0000
F 3.5463 3.5463 0.0000
F 4.1263 0.9888 1.8604
F 0.9888 4.1263 1.8604
Hg 0.0000 0.0000 0.0000
Hg 2.5575 2.5575 1.8604
```

ρ in g/cm³: 8.14
Volume in Å³/cell: 97
Energy above the most stable polymorph in this dataset in eV/f.u.: 0.029